#i
This record from OQMD describes DyHfNO after structural relaxation. The functional is GGA-PBE.

abc: 4.7376 4.7376 4.5845
angles: 90.00 90.00 90.00
Closest atoms and distances in Å follow each position.
Fractional coordinates of all 8 atoms:
Dy 0.7500 0.2500 0.5000  2 O 2.29, 4 N 2.37
Dy 0.2500 0.7500 0.5000  2 O 2.29, 4 N 2.37
Hf 0.7500 0.7500 0.0001  2 N 2.29, 4 O 2.37
Hf 0.2500 0.2500 0.9999  2 N 2.29, 4 O 2.37
N 0.2500 0.2500 0.4996  2 Hf 2.29, 4 Dy 2.37
N 0.7500 0.7500 0.5004  2 Hf 2.29, 4 Dy 2.37
O 0.7500 0.2500 0.0000  2 Dy 2.29, 4 Hf 2.37
O 0.2500 0.7500 0.0000  2 Dy 2.29, 4 Hf 2.37

## Properties
The density is 12.0 g/cm³. The symmetry is No. 123.

***

#ii
This record from OQMD describes DyHfNO after structural relaxation. The functional is GGA-PBE.

abc: 4.4338 4.4338 6.0126
angles: 90.00 90.00 90.00
Closest atoms and distances in Å follow each position.
Fractional coordinates of all 8 atoms:
Dy 0.7500 0.2500 0.5000  4 N 2.34
Dy 0.2500 0.7500 0.5000  4 N 2.34
Hf 0.7500 0.7500 0.0419  1 N 1.99
Hf 0.2500 0.2500 0.9581  1 N 1.99
N 0.7500 0.7500 0.3731  1 Hf 1.99
N 0.2500 0.2500 0.6268  1 Hf 1.99
O 0.7500 0.2500 0.0000  4 Hf 2.23
O 0.2500 0.7500 0.0000  4 Hf 2.23

## Properties
The density is 10.4 g/cm³. The symmetry is No. 129.

***

Stability order, top to bottom: #i, #ii

***

#i
This record from OQMD describes DyHfNO after structural relaxation. The functional is GGA-PBE.

abc: 3.8524 4.6502 6.6246
angles: 90.00 90.00 90.00
Closest atoms and distances in Å follow each position.
Fractional coordinates of all 8 atoms:
Dy 0.5000 0.9385 0.1565  2 N 2.34, 3 O 2.35-2.41
Dy 0.5000 0.4385 0.8435  2 N 2.34, 3 O 2.35-2.41
Hf 0.0000 0.4386 0.3304  1 N 2.07, 2 O 2.09
Hf 0.0000 0.9386 0.6696  1 N 2.07, 2 O 2.09
N 0.0000 0.9385 0.3568  1 Hf 2.07
N 0.0000 0.4385 0.6432  1 Hf 2.07
O 0.5000 0.4384 0.2071  2 Hf 2.09
O 0.5000 0.9384 0.7929  2 Hf 2.09

## Properties
The density is 10.4 g/cm³. The symmetry is No. 51.

***

#ii
This record from OQMD describes DyHfNO after structural relaxation. The functional is GGA-PBE.

abc: 4.1722 4.7454 5.9356
angles: 90.00 90.00 90.00
Closest atoms and distances in Å follow each position.
Fractional coordinates of all 8 atoms:
Dy 0.0000 0.4404 0.3141  2 O 2.35, 3 N 2.38-2.44
Dy 0.0000 0.9404 0.6859  2 O 2.35, 3 N 2.38-2.44
Hf 0.5000 0.9432 0.2224  2 N 2.11, 1 O 2.11
Hf 0.5000 0.4432 0.7776  2 N 2.11, 1 O 2.11
N 0.0000 0.9407 0.2754  2 Hf 2.11
N 0.0000 0.4407 0.7246  2 Hf 2.11
O 0.5000 0.4296 0.1331  1 Hf 2.11, 2 Dy 2.35
O 0.5000 0.9296 0.8669  1 Hf 2.11, 2 Dy 2.35

## Properties
The density is 10.5 g/cm³. The symmetry is No. 26.

***

Stability order, top to bottom: #i, #ii